Record 1
Density functional theory data (PBE) for a geometry-optimized Pa6GeOs2Se3 structure.

Output
Theoretical density = 11.868 g cm⁻³
Energy = -8.6743 eV/atom

Unit cell a=7.0377 b=12.1151 c=7.2122 alpha=90.00 beta=109.12 gamma=90.00
Space group C2/m (No. 12)
One atom of each set of equivalent atoms:
Pa 0.2263 0.0000 0.2259 x4
Pa 0.2486 0.1747 0.7675 x8
Ge 0.0000 0.5000 0.0000 x2
Os 0.0000 0.1675 0.0000 x4
Se 0.0000 0.0000 0.5000 x2
Se 0.0000 0.3428 0.5000 x4



Record 2
Density functional theory data (PBE) for a geometry-optimized Na2TbZnGe2 structure.

Output
Theoretical density = 5.075 g cm⁻³
Energy = -3.3194 eV/atom

Unit cell a=4.4253 b=8.4984 c=7.2317 alpha=90.00 beta=90.00 gamma=90.00
Space group Pmc2_1 (No. 26)
One atom of each set of equivalent atoms:
Na 0.0000 0.0858 0.0000 x2
Na 0.5000 0.1519 0.3192 x2
Tb 0.5000 0.4626 0.9860 x2
Zn 0.0000 0.3137 0.6323 x2
Ge 0.0000 0.3900 0.2657 x2
Ge 0.5000 0.1913 0.7254 x2



Record 3
Density functional theory data (PBE) for a geometry-optimized K3Ce2CuSe6 structure.

Output
Theoretical density = 4.436 g cm⁻³
Energy = -4.6385 eV/atom

Unit cell a=7.2797 b=12.6015 c=8.0037 alpha=90.00 beta=107.60 gamma=90.00
Space group C2/m (No. 12)
One atom of each set of equivalent atoms:
K 0.0000 0.0000 0.0000 x2
K 0.0000 0.3350 0.0000 x4
Ce 0.0000 0.1668 0.5000 x4
Cu 0.0000 0.5000 0.5000 x2
Se 0.2313 0.3355 0.7005 x8
Se 0.2376 0.0000 0.6999 x4



Record 4
Density functional theory data (PBE) for a geometry-optimized LiIrI2O structure.

Output
Theoretical density = 8.571 g cm⁻³
Energy = -3.2647 eV/atom
Excess energy over the best structure of this formula in the dataset = 0.900 eV/atom

Unit cell a=5.2070 b=5.2070 c=3.3511 alpha=90.00 beta=90.00 gamma=90.00
Space group P4/mmm (No. 123)
One atom of each set of equivalent atoms:
Li 0.0000 0.0000 0.0000 x1
Ir 0.5000 0.5000 0.5000 x1
I 0.0000 0.5000 0.0000 x2
O 0.0000 0.0000 0.5000 x1



Record 5
Density functional theory data (PBE) for a geometry-optimized PtCl3 structure.

Output
Theoretical density = 5.985 g cm⁻³
Energy = -2.7530 eV/atom

Unit cell a=3.7600 b=3.7600 c=20.4917 alpha=90.00 beta=90.00 gamma=120.00
Space group R-3m (No. 166, hexagonal axes)
One atom of each set of equivalent atoms:
Pt 0.0000 0.0000 0.0000 x3
Cl 0.0000 0.0000 0.2720 x6
Cl 0.0000 0.0000 0.5000 x3



Record 6
Density functional theory data (PBE) for a geometry-optimized ErSF structure.

Output
Theoretical density = 7.577 g cm⁻³
Energy = -6.5162 eV/atom

Unit cell a=3.7450 b=3.7450 c=6.8230 alpha=90.00 beta=90.00 gamma=90.00
Space group P4/nmm (No. 129, origin choice 2)
One atom of each set of equivalent atoms:
Er 0.2500 0.2500 0.2282 x2
S 0.2500 0.2500 0.6428 x2
F 0.2500 0.7500 0.0000 x2



- The lowest energy belongs to which entry?
  Pa6GeOs2Se3



- The lowest energy belongs to which entry?
  Pa6GeOs2Se3



- Number 6 is which compound?
  ErSF